Density functional theory data (PBE with a Hubbard U) for Pr2NpNiO8 after structural relaxation.

## Properties
SG ... P-1, No. 2
E_tot ... -7.85 eV/atom

Unit cell a=4.284 b=5.348 c=7.606 alpha=80.06 beta=94.60 gamma=99.28
Each line ends with the local moment (μB).
Fractional positions:
Pr 0.460 0.558 0.732  0.00
Pr 0.540 0.442 0.268  0.00
Np 0.000 0.000 0.000  0.00
Ni 0.000 0.000 0.500  1.06
O 0.088 0.714 0.176  0.00
O 0.584 0.778 0.989  0.00
O 0.969 0.171 0.257  -0.04
O 0.912 0.286 0.824  0.00
O 0.416 0.222 0.011  0.00
O 0.031 0.829 0.743  -0.04
O 0.677 0.750 0.461  0.02
O 0.323 0.250 0.539  0.02